Material: Hg2Se3
Method: DFT, GGA-PBE
State: optimized geometry

a = 10.2750 Å, b = 9.5129 Å, c = 6.4523 Å
α = 77.50°, β = 64.68°, γ = 37.81°
Positions (direct):
Hg 0.5867 0.9515 0.6668
Se 0.2747 0.3460 0.5357
Se 0.7143 0.4064 0.9753
Hg 0.5833 0.4550 0.6632
Se 0.2500 0.2500 0.2500
Se 0.9040 0.9753 0.4064
Hg 0.7950 0.6668 0.9515
Se 0.0000 0.0001 0.0000
Hg 0.2984 0.6633 0.4550
Se 0.8436 0.5357 0.3460

Results
size of the total moment: 0.000 Bohr magnetons per cell
total DFT energy (no corrections): -2.192 eV per atom
energy relative to the elements, uncorrected: 20 meV per atom
DOS(E_F): 0.04 states/eV/atom

---

Material: Tb2Ho2Er7
Method: DFT, GGA-PBE
State: optimized geometry

a = 5.9784 Å, b = 7.9337 Å, c = 7.9337 Å
α = 91.96°, β = 73.96°, γ = 73.96°
Positions (direct):
Er 0.0000 0.0000 0.0000
Er 0.8243 0.9362 0.4107
Er 0.8243 0.4107 0.9362
Er 0.1757 0.0638 0.5893
Tb 0.5000 0.7855 0.2145
Ho 0.8052 0.4087 0.4087
Ho 0.1948 0.5913 0.5913
Tb 0.5000 0.2145 0.7855
Er 0.1757 0.5893 0.0638
Er 0.5827 0.7683 0.7683
Er 0.4173 0.2317 0.2317

Results
size of the total moment: 0.001 Bohr magnetons per cell
total DFT energy (no corrections): -4.414 eV per atom
ΔE_f: 16 kJ/mol of atoms
DOS(E_F): 1.59 states/eV/atom

---

Material: SrCuRu2
Method: DFT, GGA-PBE
State: optimized geometry

a = 4.4996 Å, b = 2.9057 Å, c = 5.8052 Å
α = 79.20°, β = 90.00°, γ = 90.00°
Each line ends with the local moment (μB).
Positions (direct):
Ru 0.0000 0.9394 0.9308  0.54
Ru 0.0000 0.5606 0.5692  0.54
Cu 0.5000 0.7500 0.7500  0.04
Sr 0.5000 0.2500 0.2500  0.01

Results
size of the total moment: 1.224 Bohr magnetons per cell
total DFT energy (no corrections): -5.432 eV per atom
ΔE_f: 63 kJ/mol of atoms
DOS(E_F): 1.42 states/eV/atom

---

Material: TiGaCu
Method: DFT, GGA-PBE
State: optimized geometry

a = 6.0072 Å, b = 3.0378 Å, c = 5.3731 Å
α = 106.44°, β = 95.79°, γ = 104.65°
Positions (direct):
Ga 0.4009 0.0905 0.2557
Ga 0.7756 0.1816 0.0653
Cu 0.0527 0.7354 0.8953
Ti 0.4189 0.3671 0.7918
Ti 0.7576 0.9051 0.5292
Cu 0.1240 0.5371 0.4257

Results
size of the total moment: 0.000 Bohr magnetons per cell
total DFT energy (no corrections): -5.270 eV per atom
ΔE_f: -25 kJ/mol of atoms
DOS(E_F): 0.44 states/eV/atom

---

Material: SmDy2Zr
Method: DFT, GGA-PBE
State: optimized geometry

a = 3.3717 Å, b = 3.3717 Å, c = 12.1960 Å
α = 82.05°, β = 82.05°, γ = 60.00°
Positions (direct):
Dy 0.0857 0.0857 0.7428
Zr 0.0000 0.0000 0.0000
Dy 0.9143 0.9143 0.2572
Sm 0.5000 0.5000 0.5000

Results
size of the total moment: 0.000 Bohr magnetons per cell
total DFT energy (no corrections): -5.309 eV per atom
ΔE_f: 30 kJ/mol of atoms
DOS(E_F): 1.39 states/eV/atom

---

Material: BaMg2Zn
Method: DFT, GGA-PBE
State: optimized geometry

a = 5.6058 Å, b = 5.6058 Å, c = 10.1343 Å
α = 73.94°, β = 73.94°, γ = 90.00°
Positions (direct):
Zn 0.5000 0.5000 0.0000
Mg 0.8750 0.6249 0.7500
Mg 0.3750 0.6251 0.7500
Ba 0.0000 0.0000 0.0000
Zn 0.2500 0.7500 0.5000
Ba 0.7500 0.2500 0.5000
Mg 0.3749 0.1250 0.2500
Mg 0.3751 0.6250 0.2500

Results
size of the total moment: 0.000 Bohr magnetons per cell
total DFT energy (no corrections): -1.454 eV per atom
ΔE_f: 14 kJ/mol of atoms
DOS(E_F): 1.28 states/eV/atom

---

Material: ErGa2Hg
Method: DFT, GGA-PBE
State: optimized geometry

a = 4.2432 Å, b = 4.4193 Å, c = 4.4193 Å
α = 90.00°, β = 90.00°, γ = 90.00°
Positions (direct):
Ga 0.0000 0.0000 0.5000
Ga 0.0000 0.5000 0.0000
Er 0.5000 0.5000 0.5000
Hg 0.5000 0.0000 0.0000

Results
size of the total moment: 0.000 Bohr magnetons per cell
total DFT energy (no corrections): -3.142 eV per atom
ΔE_f: -40 kJ/mol of atoms
DOS(E_F): 0.52 states/eV/atom

---

Material: TlGe6
Method: DFT, GGA-PBE
State: optimized geometry

a = 6.1680 Å, b = 6.1680 Å, c = 6.1680 Å
α = 109.47°, β = 109.47°, γ = 109.47°
Positions (direct):
Ge 0.2500 0.7500 0.5000
Tl 0.0000 0.0000 0.0000
Ge 0.2500 0.5000 0.7500
Ge 0.5000 0.2500 0.7500
Ge 0.5000 0.7500 0.2500
Ge 0.7500 0.2500 0.5000
Ge 0.7500 0.5000 0.2500

Results
size of the total moment: 0.000 Bohr magnetons per cell
total DFT energy (no corrections): -4.127 eV per atom
ΔE_f: 16 kJ/mol of atoms
DOS(E_F): 0.61 states/eV/atom

---

Material: HoLuMnNi
Method: DFT, GGA-PBE
State: optimized geometry

a = 4.8151 Å, b = 4.8151 Å, c = 4.8151 Å
α = 60.00°, β = 60.00°, γ = 60.00°
Each line ends with the local moment (μB).
Positions (direct):
Ho 0.7500 0.7500 0.7500  -0.14
Ni 0.0000 0.0000 0.0000  0.26
Mn 0.5000 0.5000 0.5000  3.23
Lu 0.2500 0.2500 0.2500  -0.13

Results
size of the total moment: 3.282 Bohr magnetons per cell
total DFT energy (no corrections): -6.072 eV per atom
ΔE_f: -6 kJ/mol of atoms
DOS(E_F): 1.35 states/eV/atom

---

Material: ScTaGe2
Method: DFT, GGA-PBE
State: optimized geometry

a = 4.6481 Å, b = 4.6481 Å, c = 4.6481 Å
α = 60.00°, β = 60.00°, γ = 60.00°
Positions (direct):
Ge 0.7500 0.7500 0.7500
Ta 0.5000 0.5000 0.5000
Ge 0.2500 0.2500 0.2500
Sc 0.0000 0.0000 0.0000

Results
size of the total moment: 0.000 Bohr magnetons per cell
total DFT energy (no corrections): -7.027 eV per atom
ΔE_f: -17 kJ/mol of atoms
DOS(E_F): 1.53 states/eV/atom

---

Material: CuReHg2
Method: DFT, GGA-PBE
State: optimized geometry

a = 9.4441 Å, b = 9.4441 Å, c = 9.4441 Å
α = 17.86°, β = 17.86°, γ = 17.86°
Positions (direct):
Cu 0.7500 0.7500 0.7500
Re 0.2500 0.2500 0.2500
Hg 0.0033 0.0033 0.0033
Hg 0.4967 0.4967 0.4967

Results
size of the total moment: 0.000 Bohr magnetons per cell
total DFT energy (no corrections): -3.669 eV per atom
ΔE_f: 60 kJ/mol of atoms
DOS(E_F): 0.57 states/eV/atom